No. 1
A relaxed structure of HoSn2Se4, computed with PBE-GGA.

a b c (Å): 3.971 13.788 13.846
angles (deg): 90.00 90.00 90.00
Space group Cmcm (No. 63)
Unique sites:
1 Ho 0.000 0.115 0.250 (multiplicity 4)
2 Sn 0.000 0.368 0.068 (multiplicity 8)
3 Se 0.000 0.000 0.000 (multiplicity 4)
4 Se 0.000 0.286 0.627 (multiplicity 8)
5 Se 0.000 0.468 0.250 (multiplicity 4)

## Properties
- mass density (g/cm3) = 6.3
- raw formation energy (meV per atom) = -849.5
- D(E_F) (states/eV per cell) = 12.455

***

No. 2
A relaxed structure of Ho7SnSe5, computed with PBE-GGA.

a b c (Å): 4.106 13.233 24.010
angles (deg): 90.00 90.00 90.00
Space group Cmcm (No. 63)
Unique sites:
1 Ho 0.000 0.025 0.250 (multiplicity 4)
2 Ho 0.000 0.138 0.536 (multiplicity 8)
3 Ho 0.000 0.318 0.178 (multiplicity 8)
4 Ho 0.000 0.402 0.618 (multiplicity 8)
5 Sn 0.000 0.305 0.750 (multiplicity 4)
6 Se 0.000 0.046 0.641 (multiplicity 8)
7 Se 0.000 0.226 0.072 (multiplicity 8)
8 Se 0.000 0.500 0.000 (multiplicity 4)

## Properties
- mass density (g/cm3) = 8.5
- raw formation energy (meV per atom) = -1463.6
- D(E_F) (states/eV per cell) = 32.054

***

No. 3
A relaxed structure of Ho4SnSe4, computed with PBE-GGA.

a b c (Å): 14.058 4.080 10.349
angles (deg): 90.00 120.75 90.00
Space group C2/m (No. 12)
Unique sites:
1 Ho 0.098 0.000 0.386 (multiplicity 4)
2 Ho 0.207 0.500 0.808 (multiplicity 4)
3 Sn 0.000 0.500 0.500 (multiplicity 2)
4 Se 0.109 0.000 0.896 (multiplicity 4)
5 Se 0.203 0.500 0.305 (multiplicity 4)

## Properties
- mass density (g/cm3) = 7.1
- raw formation energy (meV per atom) = -1586.7
- D(E_F) (states/eV per cell) = 2.215

***

No. 4
A relaxed structure of TbHoSnSe, computed with PBE-GGA.

a b c (Å): 4.249 4.249 6.027
angles (deg): 90.00 90.00 90.00
Space group P4/mmm (No. 123)
Unique sites:
1 Tb 0.000 0.000 0.000 (multiplicity 1)
2 Ho 0.500 0.500 0.500 (multiplicity 1)
3 Sn 0.000 0.000 0.500 (multiplicity 1)
4 Se 0.500 0.500 0.000 (multiplicity 1)

## Properties
- mass density (g/cm3) = 8.0
- raw formation energy (meV per atom) = -1240.2
- D(E_F) (states/eV per cell) = 0.890

***

No. 5
A relaxed structure of Ho6SnTe3Se2, computed with PBE-GGA.

a b c (Å): 7.323 12.661 7.490
angles (deg): 90.00 108.98 90.00
Space group C2/m (No. 12)
Unique sites:
1 Ho 0.232 0.000 0.223 (multiplicity 4)
2 Ho 0.246 0.329 0.225 (multiplicity 8)
3 Sn 0.000 0.500 0.000 (multiplicity 2)
4 Te 0.000 0.000 0.500 (multiplicity 2)
5 Te 0.000 0.336 0.500 (multiplicity 4)
6 Se 0.000 0.167 0.000 (multiplicity 4)

## Properties
- mass density (g/cm3) = 8.3
- raw formation energy (meV per atom) = -1354.2
- D(E_F) (states/eV per cell) = 11.463

***

No. 6
A relaxed structure of Ho8SnTe4Se3, computed with PBE-GGA.

a b c (Å): 8.4336 8.4336 21.1112
angles (deg): 90.00 90.00 120.00
Space group R-3m (No. 166, hexagonal axes)
Unique sites:
1 Ho 0.0000 0.0000 0.2382 (multiplicity 6)
2 Ho 0.0078 0.5039 0.7589 (multiplicity 18)
3 Sn 0.0000 0.0000 0.5000 (multiplicity 3)
4 Te 0.0000 0.0000 0.0000 (multiplicity 3)
5 Te 0.0000 0.5000 0.0000 (multiplicity 9)
6 Se 0.0000 0.5000 0.5000 (multiplicity 9)

## Properties
- mass density (g/cm3) = 8.4
- raw formation energy (meV per atom) = -1389.9
- D(E_F) (states/eV per cell) = 17.120